HfTlW after structural relaxation, computed with PBE.

Values from the calculation:
V ... 69 Å³ per cell
Total energy ... -21.635 eV per cell

Cell lengths 4.5985, 4.5985, 4.5985 Å; angles 60.00, 60.00, 60.00 degrees
Last column: nearest neighbours and their distance in Å.
Sites, in units of the cell vectors:
Hf1 0.2500 0.2500 0.2500  4 Tl 2.82
Tl1 0.0000 0.0000 0.0000  4 W 2.82, 4 Hf 2.82
W1 0.7500 0.7500 0.7500  4 Tl 2.82